1.
Material: Eu2ErAg
Method: DFT, PBE
State: relaxed

Summary:
* energy above the most stable polymorph in this dataset: 116 meV per atom
* magnetization: 3.83 μB per atom
* energy: -0.2548 hartree per atom
* DFT formation energy: 0.057 eV/atom

abc: 5.1915 4.8239 4.8239
angles: 90.00 90.00 90.00
Last column: nearest neighbours and their distance in Å.
Fractional positions:
Eu 0.0000 0.5000 0.0000  4 Eu 3.41, 4 Er 3.54, 4 Ag 3.54
Ag 0.5000 0.0000 0.0000  4 Er 3.41, 8 Eu 3.54
Er 0.5000 0.5000 0.5000  4 Ag 3.41, 8 Eu 3.54
Eu 0.0000 0.0000 0.5000  4 Eu 3.41, 4 Er 3.54, 4 Ag 3.54



2.
Material: Be2InCu
Method: DFT, PBE
State: relaxed

Summary:
* magnetization: 0.00 μB per atom
* energy: -0.1237 hartree per atom
* DFT formation energy: 0.207 eV/atom

abc: 3.9229 3.9229 4.4985
angles: 74.79 74.79 58.69
Last column: nearest neighbours and their distance in Å.
Fractional positions:
In 0.2500 0.2500 0.2500  4 Be 2.50-2.63
Be 0.4377 0.4377 0.6805  3 Cu 2.25-2.28, 3 Be 2.27-2.45, 1 In 2.50
Be 0.0623 0.0623 0.8195  3 Cu 2.25-2.28, 3 Be 2.27-2.45, 1 In 2.50
Cu 0.7500 0.7500 0.7500  6 Be 2.25-2.28



3.
Material: Tb2ErTm
Method: DFT, PBE
State: relaxed

Summary:
* energy above the most stable polymorph in this dataset: 41 meV per atom
* magnetization: 0.00 μB per atom
* energy: -0.1665 hartree per atom
* DFT formation energy: 0.044 eV/atom

abc: 8.3273 7.1848 8.3033
angles: 90.00 90.00 90.00
Last column: nearest neighbours and their distance in Å.
Fractional positions:
Tm 0.5626 0.0001 0.0426  7 Tb 3.40-3.59, 4 Er 3.47-3.50
Er 0.8572 0.7499 0.2500  5 Tb 3.42-3.51, 4 Tm 3.47-3.50, 2 Er 3.59
Tm 0.5626 0.5001 0.4574  7 Tb 3.40-3.59, 4 Er 3.47-3.50
Tb 0.7673 0.2497 0.7500  1 Er 3.42, 4 Tm 3.47-3.50, 6 Tb 3.47-3.59
Tb 0.0627 0.0000 0.5483  3 Tm 3.40-3.59, 4 Er 3.47-3.51, 4 Tb 3.47-3.50
Er 0.3572 0.7501 0.7500  5 Tb 3.42-3.51, 4 Tm 3.47-3.50, 2 Er 3.59
Tb 0.0627 0.5000 0.9517  3 Tm 3.40-3.59, 4 Er 3.47-3.51, 4 Tb 3.47-3.50
Er 0.8572 0.2499 0.2500  5 Tb 3.42-3.51, 4 Tm 3.47-3.50, 2 Er 3.59
Tb 0.5627 0.5000 0.0483  3 Tm 3.40-3.59, 4 Er 3.47-3.51, 4 Tb 3.47-3.50
Tm 0.0626 0.9999 0.9574  7 Tb 3.40-3.59, 4 Er 3.47-3.50
Tb 0.2673 0.2503 0.2500  1 Er 3.42, 4 Tm 3.47-3.50, 6 Tb 3.47-3.59
Tb 0.2673 0.7503 0.2500  1 Er 3.42, 4 Tm 3.47-3.50, 6 Tb 3.47-3.59
Tm 0.0626 0.4999 0.5426  7 Tb 3.40-3.59, 4 Er 3.47-3.50
Tb 0.7673 0.7497 0.7500  1 Er 3.42, 4 Tm 3.47-3.50, 6 Tb 3.47-3.59
Tb 0.5627 0.0000 0.4517  3 Tm 3.40-3.59, 4 Er 3.47-3.51, 4 Tb 3.47-3.50
Er 0.3572 0.2501 0.7500  5 Tb 3.42-3.51, 4 Tm 3.47-3.50, 2 Er 3.59